No. 1
DFT (PBE) results for a relaxed structure of YOsSCl2.

Lattice parameters (Å, degrees): 4.6959 4.6959 4.7578 90.00 90.00 90.00
With the nearest neighbours (Å) after each atom.
Atoms (fractional coordinates):
Cl (0.5000, 0.0000, 0.0000)  2 Os 2.35
S (0.0000, 0.0000, 0.5000)  2 Os 2.38
Cl (0.0000, 0.5000, 0.0000)  2 Os 2.35
Os (0.0000, 0.0000, 0.0000)  4 Cl 2.35, 2 S 2.38
Y (0.5000, 0.5000, 0.5000)  4 S 3.32, 8 Cl 3.34

Calculated values
Energy above the most stable polymorph in this dataset   0 meV per atom
Uncorrected formation energy   -148 meV/atom
Space group   No. 123

No. 2
DFT (PBE) results for a relaxed structure of YOsS2Cl.

Lattice parameters (Å, degrees): 4.6810 4.6810 4.6831 90.00 90.00 90.00
With the nearest neighbours (Å) after each atom.
Atoms (fractional coordinates):
S (0.0000, 0.5000, 0.0000)  2 Os 2.34
Y (0.5000, 0.5000, 0.5000)  4 Cl 3.31, 8 S 3.31
S (0.5000, 0.0000, 0.0000)  2 Os 2.34
Cl (0.0000, 0.0000, 0.5000)  2 Os 2.34
Os (0.0000, 0.0000, 0.0000)  4 S 2.34, 2 Cl 2.34

Calculated values
Energy above the most stable polymorph in this dataset   0 meV per atom
Uncorrected formation energy   -284 meV/atom
Space group   No. 123

No. 3
DFT (PBE) results for a relaxed structure of YOsSCl2.

Lattice parameters (Å, degrees): 5.2388 5.2388 5.3405 90.00 90.00 90.00
With the nearest neighbours (Å) after each atom.
Atoms (fractional coordinates):
Cl (0.0000, 0.5000, 0.0000)  2 Y 2.62
Y (0.0000, 0.0000, 0.0000)  4 Cl 2.62, 2 S 2.67
Cl (0.5000, 0.0000, 0.0000)  2 Y 2.62
Os (0.5000, 0.5000, 0.5000)  4 S 3.70, 8 Cl 3.74
S (0.0000, 0.0000, 0.5000)  2 Y 2.67

Calculated values
Energy above the most stable polymorph in this dataset   243 meV per atom
Uncorrected formation energy   95 meV/atom
Space group   No. 123

No. 4
DFT (PBE) results for a relaxed structure of ZrOsS2Cl.

Lattice parameters (Å, degrees): 4.9996 4.9996 5.0093 90.00 90.00 90.00
With the nearest neighbours (Å) after each atom.
Atoms (fractional coordinates):
Os (0.5000, 0.5000, 0.5000)  4 Cl 3.54, 8 S 3.54
S (0.0000, 0.5000, 0.0000)  2 Zr 2.50
Cl (0.0000, 0.0000, 0.5000)  2 Zr 2.50
S (0.5000, 0.0000, 0.0000)  2 Zr 2.50
Zr (0.0000, 0.0000, 0.0000)  4 S 2.50, 2 Cl 2.50

Calculated values
Energy above the most stable polymorph in this dataset   177 meV per atom
Uncorrected formation energy   503 meV/atom
Space group   No. 123

No. 5
DFT (PBE) results for a relaxed structure of ZrOsS2Cl.

Lattice parameters (Å, degrees): 4.6267 4.6267 4.6174 90.00 90.00 90.00
With the nearest neighbours (Å) after each atom.
Atoms (fractional coordinates):
S (0.5000, 0.0000, 0.0000)  2 Os 2.31
Zr (0.5000, 0.5000, 0.5000)  8 S 3.27, 4 Cl 3.27
S (0.0000, 0.5000, 0.0000)  2 Os 2.31
Os (0.0000, 0.0000, 0.0000)  2 Cl 2.31, 4 S 2.31
Cl (0.0000, 0.0000, 0.5000)  2 Os 2.31

Calculated values
Energy above the most stable polymorph in this dataset   0 meV per atom
Uncorrected formation energy   326 meV/atom
Space group   No. 123

No. 6
DFT (PBE) results for a relaxed structure of SbOs2Cl.

Lattice parameters (Å, degrees): 3.0931 3.0931 8.5773 90.00 90.00 120.98
With the nearest neighbours (Å) after each atom.
Atoms (fractional coordinates):
Os (0.0000, 0.0000, 0.0060)  2 Sb 2.59, 2 Cl 2.67
Os (0.0000, 0.0000, 0.4940)  2 Sb 2.59, 2 Cl 2.67
Cl (0.5000, 0.5000, 0.7500)  4 Os 2.67
Sb (0.5000, 0.5000, 0.2500)  4 Os 2.59

Calculated values
Energy above the most stable polymorph in this dataset   823 meV per atom
Uncorrected formation energy   1100 meV/atom
Space group   No. 65

No. 7
DFT (PBE) results for a relaxed structure of Sb3OsCl.

Lattice parameters (Å, degrees): 5.0455 5.0455 5.0455 90.00 90.00 90.00
With the nearest neighbours (Å) after each atom.
Atoms (fractional coordinates):
Cl (0.0000, 0.0000, 0.0000)  6 Sb 2.52
Sb (0.0000, 0.5000, 0.0000)  2 Cl 2.52
Os (0.5000, 0.5000, 0.5000)  12 Sb 3.57
Sb (0.5000, 0.0000, 0.0000)  2 Cl 2.52
Sb (0.0000, 0.0000, 0.5000)  2 Cl 2.52

Calculated values
Energy above the most stable polymorph in this dataset   1170 meV per atom
Uncorrected formation energy   1661 meV/atom
Space group   No. 221

No. 8
DFT (PBE) results for a relaxed structure of SbOs3Cl.

Lattice parameters (Å, degrees): 4.9628 4.9628 4.9628 90.00 90.00 90.00
With the nearest neighbours (Å) after each atom.
Atoms (fractional coordinates):
Os (0.0000, 0.0000, 0.5000)  2 Sb 2.48
Sb (0.0000, 0.0000, 0.0000)  6 Os 2.48
Os (0.0000, 0.5000, 0.0000)  2 Sb 2.48
Cl (0.5000, 0.5000, 0.5000)  12 Os 3.51
Os (0.5000, 0.0000, 0.0000)  2 Sb 2.48

Calculated values
Energy above the most stable polymorph in this dataset   745 meV per atom
Uncorrected formation energy   2684 meV/atom
Space group   No. 221

No. 9
DFT (PBE) results for a relaxed structure of SbOs2Cl.

Lattice parameters (Å, degrees): 4.5650 4.5650 3.1730 90.00 90.00 90.08
With the nearest neighbours (Å) after each atom.
Atoms (fractional coordinates):
Os (0.0000, 0.0000, 0.0000)  4 Cl 2.78, 4 Sb 2.78
Os (0.5000, 0.5000, 0.0000)  4 Sb 2.78, 4 Cl 2.78
Cl (0.0000, 0.5000, 0.5000)  8 Os 2.78
Sb (0.5000, 0.0000, 0.5000)  8 Os 2.78

Calculated values
Energy above the most stable polymorph in this dataset   971 meV per atom
Uncorrected formation energy   1248 meV/atom
Space group   No. 65

No. 10
DFT (PBE) results for a relaxed structure of SbOs2Cl.

Lattice parameters (Å, degrees): 2.9372 5.2294 4.4373 90.00 90.00 90.00
With the nearest neighbours (Å) after each atom.
Atoms (fractional coordinates):
Os (0.0000, 0.0000, 0.0000)  4 Sb 2.66, 2 Os 2.94
Sb (0.5000, 0.0000, 0.5000)  4 Os 2.66, 2 Sb 2.94
Cl (0.0000, 0.5000, 0.5000)  4 Os 2.66, 2 Cl 2.94
Os (0.5000, 0.5000, 0.0000)  4 Cl 2.66, 2 Os 2.94

Calculated values
Energy above the most stable polymorph in this dataset   832 meV per atom
Uncorrected formation energy   1109 meV/atom
Space group   No. 47

No. 11
DFT (PBE) results for a relaxed structure of SbOs2Cl.

Lattice parameters (Å, degrees): 3.5756 2.9118 8.1926 78.83 90.00 90.00
With the nearest neighbours (Å) after each atom.
Atoms (fractional coordinates):
Cl (0.5000, 0.9110, 0.8304)  2 Os 2.51
Os (0.0000, 0.7915, 0.0493)  2 Cl 2.51, 4 Os 2.61
Os (0.5000, 0.2083, 0.2016)  6 Os 2.61-2.91, 4 Sb 2.89
Sb (0.0000, 0.5892, 0.4187)  5 Os 2.89-2.97, 2 Sb 2.91

Calculated values
Energy above the most stable polymorph in this dataset   32 meV per atom
Uncorrected formation energy   309 meV/atom
Space group   No. 6

No. 12
DFT (PBE) results for a relaxed structure of SbOs2Cl.

Lattice parameters (Å, degrees): 4.4370 2.9937 5.1569 88.40 90.00 90.00
With the nearest neighbours (Å) after each atom.
Atoms (fractional coordinates):
Sb (0.5000, 0.2500, 0.2500)  4 Os 2.79, 4 Cl 2.95-3.02, 2 Sb 2.99
Cl (0.5000, 0.7500, 0.7500)  4 Os 2.58
Os (0.0000, 0.9763, 0.9672)  2 Cl 2.58, 2 Os 2.65-2.74, 2 Sb 2.79
Os (0.0000, 0.5237, 0.5328)  2 Cl 2.58, 2 Os 2.65-2.74, 2 Sb 2.79

Calculated values
Energy above the most stable polymorph in this dataset   769 meV per atom
Uncorrected formation energy   1046 meV/atom
Space group   No. 10

No. 13
DFT (PBE) results for a relaxed structure of SbOs2Cl.

Lattice parameters (Å, degrees): 4.0181 4.0181 7.5212 90.40 90.40 59.94
With the nearest neighbours (Å) after each atom.
Atoms (fractional coordinates):
Cl (0.1274, 0.1274, 0.1960)  1 Os 2.25
Os (0.1252, 0.1252, 0.8973)  1 Cl 2.25, 3 Os 2.42
Sb (0.4563, 0.4563, 0.6026)  3 Os 2.77
Os (0.7912, 0.7912, 0.8042)  3 Os 2.42

Calculated values
Energy above the most stable polymorph in this dataset   0 meV per atom
Uncorrected formation energy   277 meV/atom
Space group   No. 8

No. 14
DFT (PBE) results for a relaxed structure of SbOs2Cl.

Lattice parameters (Å, degrees): 3.0243 3.0243 9.9344 90.00 90.00 122.73
With the nearest neighbours (Å) after each atom.
Atoms (fractional coordinates):
Os (0.0000, 0.0000, 0.0076)  2 Cl 2.47, 2 Os 2.58
Os (0.5000, 0.5000, 0.2222)  2 Os 2.58, 2 Sb 2.80
Sb (0.0000, 0.0000, 0.4634)  2 Os 2.80, 6 Sb 2.90-3.02
Cl (0.5000, 0.5000, 0.8068)  2 Os 2.47

Calculated values
Energy above the most stable polymorph in this dataset   452 meV per atom
Uncorrected formation energy   729 meV/atom
Space group   No. 35

No. 15
DFT (PBE) results for a relaxed structure of SbOsCl3.

Lattice parameters (Å, degrees): 4.7908 4.7908 4.7908 90.00 90.00 90.00
With the nearest neighbours (Å) after each atom.
Atoms (fractional coordinates):
Sb (0.5000, 0.5000, 0.5000)  12 Cl 3.39
Cl (0.0000, 0.0000, 0.5000)  2 Os 2.40
Cl (0.5000, 0.0000, 0.0000)  2 Os 2.40
Os (0.0000, 0.0000, 0.0000)  6 Cl 2.40
Cl (0.0000, 0.5000, 0.0000)  2 Os 2.40

Calculated values
Energy above the most stable polymorph in this dataset   0 meV per atom
Uncorrected formation energy   527 meV/atom
Space group   No. 221

No. 16
DFT (PBE) results for a relaxed structure of SbOs2Cl.

Lattice parameters (Å, degrees): 4.5017 4.5017 5.2722 78.16 78.16 39.49
With the nearest neighbours (Å) after each atom.
Atoms (fractional coordinates):
Cl (0.2500, 0.2500, 0.2500)  6 Os 2.65-2.70
Os (0.0034, 0.0034, 0.0150)  3 Cl 2.65-2.70, 3 Sb 2.71-2.81, 2 Os 2.90
Sb (0.7500, 0.7500, 0.7500)  6 Os 2.71-2.81
Os (0.4966, 0.4966, 0.4850)  3 Cl 2.65-2.70, 3 Sb 2.71-2.81, 2 Os 2.90

Calculated values
Energy above the most stable polymorph in this dataset   663 meV per atom
Uncorrected formation energy   940 meV/atom
Space group   No. 12

No. 17
DFT (PBE) results for a relaxed structure of SbOs2Cl.

Lattice parameters (Å, degrees): 6.5368 6.5368 6.5368 154.39 142.54 45.92
With the nearest neighbours (Å) after each atom.
Atoms (fractional coordinates):
Cl (0.2486, 0.7486, 0.5000)  4 Os 2.56
Os (0.7651, 0.2651, 0.5000)  4 Cl 2.56, 2 Os 2.61
Os (0.9455, 0.9455, 0.0000)  4 Os 2.61-2.90, 4 Sb 2.80
Sb (0.5408, 0.5408, 0.0000)  6 Os 2.80-3.06, 2 Sb 2.90

Calculated values
Energy above the most stable polymorph in this dataset   565 meV per atom
Uncorrected formation energy   842 meV/atom
Space group   No. 44

No. 18
DFT (PBE) results for a relaxed structure of SbOs3Cl.

Lattice parameters (Å, degrees): 4.4573 4.4573 4.4573 90.00 90.00 90.00
With the nearest neighbours (Å) after each atom.
Atoms (fractional coordinates):
Os (0.5000, 0.0000, 0.0000)  2 Cl 2.23
Os (0.0000, 0.5000, 0.0000)  2 Cl 2.23
Os (0.0000, 0.0000, 0.5000)  2 Cl 2.23
Sb (0.5000, 0.5000, 0.5000)  12 Os 3.15
Cl (0.0000, 0.0000, 0.0000)  6 Os 2.23

Calculated values
Energy above the most stable polymorph in this dataset   0 meV per atom
Uncorrected formation energy   1940 meV/atom
Space group   No. 221

No. 19
DFT (PBE) results for a relaxed structure of SbOs2Cl.

Lattice parameters (Å, degrees): 4.5340 4.5340 4.5340 60.00 60.00 60.00
With the nearest neighbours (Å) after each atom.
Atoms (fractional coordinates):
Os (0.2500, 0.2500, 0.2500)  4 Cl 2.78, 4 Sb 2.78
Os (0.7500, 0.7500, 0.7500)  4 Sb 2.78, 4 Cl 2.78
Cl (0.0000, 0.0000, 0.0000)  8 Os 2.78
Sb (0.5000, 0.5000, 0.5000)  8 Os 2.78

Calculated values
Energy above the most stable polymorph in this dataset   841 meV per atom
Uncorrected formation energy   1118 meV/atom
Space group   No. 225

No. 20
DFT (PBE) results for a relaxed structure of SbOs2Cl.

Lattice parameters (Å, degrees): 8.3545 8.3545 8.3545 21.36 21.36 21.36
With the nearest neighbours (Å) after each atom.
Atoms (fractional coordinates):
Os (0.9977, 0.9977, 0.9977)  3 Sb 2.67, 3 Cl 2.75
Cl (0.7500, 0.7500, 0.7500)  6 Os 2.75
Os (0.5023, 0.5023, 0.5023)  3 Sb 2.67, 3 Cl 2.75
Sb (0.2500, 0.2500, 0.2500)  6 Os 2.67

Calculated values
Energy above the most stable polymorph in this dataset   606 meV per atom
Uncorrected formation energy   883 meV/atom
Space group   No. 166